Record 1
CrAgAu4 | meta-GGA SCAN | single point on PBEsol structure Values from VASP.

The structure in Quantum ESPRESSO input format:
```
&SYSTEM
  ibrav = 0, nat = 6, ntyp = 3
/
ATOMIC_SPECIES
Cr 52.00 Cr.upf
Ag 107.87 Ag.upf
Au 196.97 Au.upf
CELL_PARAMETERS angstrom
0.0000 3.7898 3.7898
3.7898 0.0000 3.7898
3.7898 3.7898 0.0000
ATOMIC_POSITIONS angstrom
Cr 0.0000 0.0000 0.0000
Ag 1.8949 1.8949 1.8949
Au 4.7370 2.8426 2.8426
Au 2.8426 4.7370 2.8426
Au 2.8426 2.8426 4.7370
Au 4.7370 4.7370 4.7370
```

***

Record 2
AlSbPt2 | meta-GGA SCAN | single point on PBEsol structure Values from VASP.

* offset from the most stable computed form: 0 meV/atom

The structure in Quantum ESPRESSO input format:
```
&SYSTEM
  ibrav = 0, nat = 8, ntyp = 3
/
ATOMIC_SPECIES
Al 26.98 Al.upf
Sb 121.76 Sb.upf
Pt 195.08 Pt.upf
CELL_PARAMETERS angstrom
3.0108 0.0000 0.0000
0.0000 3.8140 0.0000
0.0000 0.0000 12.6114
ATOMIC_POSITIONS angstrom
Al 0.0000 0.0000 0.0000
Al 1.5054 1.9070 6.3057
Sb 0.0000 1.9070 9.4636
Sb 1.5054 0.0000 3.1580
Pt 0.0000 0.0000 5.5158
Pt 0.0000 1.9070 1.7145
Pt 1.5054 0.0000 8.0202
Pt 1.5054 1.9070 11.8215
```

***

Record 3
Y2CrSe | meta-GGA SCAN | single point on PBEsol structure Values from VASP.

The structure in Quantum ESPRESSO input format:
```
&SYSTEM
  ibrav = 0, nat = 12, ntyp = 3
/
ATOMIC_SPECIES
Y 88.91 Y.upf
Cr 52.00 Cr.upf
Se 78.96 Se.upf
CELL_PARAMETERS angstrom
4.1367 0.0000 0.0000
-2.0683 3.5825 0.0000
0.0000 0.0000 18.9744
ATOMIC_POSITIONS angstrom
Y 0.0000 0.0000 0.0000
Y 0.0000 0.0000 3.6135
Y 0.0000 2.3883 12.6496
Y 0.0000 2.3883 16.2631
Y 2.0683 1.1942 6.3248
Y 2.0683 1.1942 9.9383
Cr 0.0000 0.0000 14.6006
Cr 0.0000 2.3883 8.2758
Cr 2.0683 1.1942 1.9510
Se 0.0000 0.0000 7.9162
Se 0.0000 2.3883 1.5914
Se 2.0683 1.1942 14.2410
```

***

Record 4
K2LiInF6 | meta-GGA SCAN | single point on PBEsol structure Values from VASP.

The structure in Quantum ESPRESSO input format:
```
&SYSTEM
  ibrav = 0, nat = 10, ntyp = 4
/
ATOMIC_SPECIES
K 39.10 K.upf
Li 6.94 Li.upf
In 114.82 In.upf
F 19.00 F.upf
CELL_PARAMETERS angstrom
0.0000 4.1107 4.1107
4.1107 0.0000 4.1107
4.1107 4.1107 0.0000
ATOMIC_POSITIONS angstrom
K 2.0554 2.0554 2.0554
K 6.1661 6.1661 6.1661
Li 0.0000 0.0000 0.0000
In 4.1107 4.1107 4.1107
F 4.1107 4.1107 2.0321
F 4.1107 2.0321 4.1107
F 6.1893 4.1107 4.1107
F 2.0321 4.1107 4.1107
F 4.1107 6.1893 4.1107
F 4.1107 4.1107 6.1893
```

***

Record 5
K2MoPtSe | meta-GGA SCAN | single point on PBEsol structure Values from VASP.

The structure in Quantum ESPRESSO input format:
```
&SYSTEM
  ibrav = 0, nat = 5, ntyp = 4
/
ATOMIC_SPECIES
K 39.10 K.upf
Mo 95.94 Mo.upf
Pt 195.08 Pt.upf
Se 78.96 Se.upf
CELL_PARAMETERS angstrom
6.3230 0.0000 0.0000
0.0000 6.3230 0.0000
0.0000 0.0000 4.6560
ATOMIC_POSITIONS angstrom
K 0.0000 3.1615 0.0000
K 3.1615 0.0000 0.0000
Mo 0.0000 0.0000 0.0000
Pt 3.1615 3.1615 2.3280
Se 0.0000 0.0000 2.3280
```

***

Record 6
ZnCuRe2 | meta-GGA SCAN | single point on PBEsol structure Values from VASP.

The structure in Quantum ESPRESSO input format:
```
&SYSTEM
  ibrav = 0, nat = 4, ntyp = 3
/
ATOMIC_SPECIES
Zn 65.41 Zn.upf
Cu 63.55 Cu.upf
Re 186.21 Re.upf
CELL_PARAMETERS angstrom
3.0066 0.0000 0.0000
0.0000 3.0066 0.0000
0.0000 0.0000 6.1006
ATOMIC_POSITIONS angstrom
Zn 0.0000 0.0000 0.0000
Cu 1.5033 1.5033 1.2501
Re 0.0000 0.0000 2.9484
Re 1.5033 1.5033 4.3366
```

***

Record 7
SnH16C4N2Cl6 | meta-GGA SCAN | single point on PBEsol structure Values from VASP.

The structure in Quantum ESPRESSO input format:
```
&SYSTEM
  ibrav = 0, nat = 58, ntyp = 5
/
ATOMIC_SPECIES
Sn 118.71 Sn.upf
H 1.01 H.upf
C 12.01 C.upf
N 14.01 N.upf
Cl 35.45 Cl.upf
CELL_PARAMETERS angstrom
8.0382 0.0000 0.0000
0.0000 13.4996 0.0000
0.0000 0.0000 7.1149
ATOMIC_POSITIONS angstrom
Sn 0.0000 0.0000 0.0000
Sn 4.0191 6.7498 3.5574
H 0.4114 3.0299 3.5574
H 0.7857 5.8123 0.0000
H 0.8825 4.2506 0.8984
H 0.8825 4.2506 6.2165
H 0.9949 9.7672 2.6616
H 0.9949 9.7672 4.4532
H 1.0378 12.1966 2.7318
H 1.0378 12.1966 4.3831
H 2.9813 5.4468 0.8257
H 2.9813 5.4468 6.2892
H 3.0242 3.0174 0.8958
H 3.0242 3.0174 6.2191
H 3.1366 11.0004 2.6591
H 3.1366 11.0004 4.4558
H 3.2334 12.5621 3.5574
H 3.6077 9.7797 0.0000
H 4.4305 3.7199 0.0000
H 4.8048 0.9375 3.5574
H 4.9016 2.4992 2.6591
H 4.9016 2.4992 4.4558
H 5.0140 10.4822 0.8958
H 5.0140 10.4822 6.2191
H 5.0569 8.0528 0.8257
H 5.0569 8.0528 6.2892
H 7.0004 1.3030 2.7318
H 7.0004 1.3030 4.3831
H 7.0433 3.7324 2.6616
H 7.0433 3.7324 4.4532
H 7.1557 9.2490 0.8984
H 7.1557 9.2490 6.2165
H 7.2526 7.6873 0.0000
H 7.6268 10.4697 3.5574
C 0.6764 10.3193 3.5574
C 1.2012 4.7962 0.0000
C 2.8179 11.5460 3.5574
C 3.3427 3.5695 0.0000
C 4.6955 9.9301 0.0000
C 5.2204 1.9536 3.5574
C 6.8370 8.7034 0.0000
C 7.3618 3.1803 3.5574
N 1.3429 11.6374 3.5574
N 2.6762 4.8876 0.0000
N 5.3620 8.6119 0.0000
N 6.6953 1.8621 3.5574
Cl 1.2894 11.4231 0.0000
Cl 1.4461 0.8944 1.7664
Cl 1.4461 0.8944 5.3485
Cl 2.5730 7.6442 1.7911
Cl 2.5730 7.6442 5.3238
Cl 2.7297 4.6733 3.5574
Cl 5.3085 8.8262 3.5574
Cl 5.4652 5.8554 1.7911
Cl 5.4652 5.8554 5.3238
Cl 6.5921 12.6052 1.7664
Cl 6.5921 12.6052 5.3485
Cl 6.7488 2.0765 0.0000
```

***

Record 8
LiGd2Ga | meta-GGA SCAN | single point on PBEsol structure Values from VASP.

The structure in Quantum ESPRESSO input format:
```
&SYSTEM
  ibrav = 0, nat = 16, ntyp = 3
/
ATOMIC_SPECIES
Li 6.94 Li.upf
Gd 157.25 Gd.upf
Ga 69.72 Ga.upf
CELL_PARAMETERS angstrom
7.1666 0.0000 0.0000
0.0000 7.1666 0.0000
0.0000 0.0000 7.1666
ATOMIC_POSITIONS angstrom
Li 0.0000 0.0000 0.0000
Li 0.0000 3.5833 3.5833
Li 3.5833 0.0000 3.5833
Li 3.5833 3.5833 0.0000
Gd 1.7917 1.7917 1.7917
Gd 1.7917 1.7917 5.3750
Gd 1.7917 5.3750 1.7917
Gd 1.7917 5.3750 5.3750
Gd 5.3750 1.7917 1.7917
Gd 5.3750 1.7917 5.3750
Gd 5.3750 5.3750 1.7917
Gd 5.3750 5.3750 5.3750
Ga 0.0000 0.0000 3.5833
Ga 0.0000 3.5833 0.0000
Ga 3.5833 0.0000 0.0000
Ga 3.5833 3.5833 3.5833
```

***

Record 9
ZrTe2Pt | meta-GGA SCAN | single point on PBEsol structure Values from VASP.

* offset from the most stable computed form: 117 meV/atom

The structure in Quantum ESPRESSO input format:
```
&SYSTEM
  ibrav = 0, nat = 4, ntyp = 3
/
ATOMIC_SPECIES
Zr 91.22 Zr.upf
Te 127.60 Te.upf
Pt 195.08 Pt.upf
CELL_PARAMETERS angstrom
3.3301 0.0000 0.0000
0.0000 3.3301 0.0000
0.0000 0.0000 8.7974
ATOMIC_POSITIONS angstrom
Zr 0.0000 0.0000 0.0000
Te 0.0000 0.0000 3.2621
Te 1.6650 1.6650 6.6406
Pt 1.6650 1.6650 1.3792
```

***

Record 10
CsTcPS2 | meta-GGA SCAN | single point on PBEsol structure Values from VASP.

The structure in Quantum ESPRESSO input format:
```
&SYSTEM
  ibrav = 0, nat = 5, ntyp = 4
/
ATOMIC_SPECIES
Cs 132.91 Cs.upf
Tc 98.00 Tc.upf
P 30.97 P.upf
S 32.06 S.upf
CELL_PARAMETERS angstrom
4.8095 0.0000 0.0000
0.0000 4.8095 0.0000
0.0000 0.0000 4.6156
ATOMIC_POSITIONS angstrom
Cs 0.0000 0.0000 0.0000
Tc 2.4047 2.4047 2.3078
P 2.4047 2.4047 0.0000
S 0.0000 2.4047 2.3078
S 2.4047 0.0000 2.3078
```

***

Record 11
Nb2TlCo | meta-GGA SCAN | single point on PBEsol structure Values from VASP.

The structure in Quantum ESPRESSO input format:
```
&SYSTEM
  ibrav = 0, nat = 16, ntyp = 3
/
ATOMIC_SPECIES
Nb 92.91 Nb.upf
Tl 204.38 Tl.upf
Co 58.93 Co.upf
CELL_PARAMETERS angstrom
6.4819 0.0000 0.0000
0.0000 6.4819 0.0000
0.0000 0.0000 6.4819
ATOMIC_POSITIONS angstrom
Nb 1.6205 1.6205 1.6205
Nb 1.6205 1.6205 4.8615
Nb 1.6205 4.8615 1.6205
Nb 1.6205 4.8615 4.8615
Nb 4.8615 1.6205 1.6205
Nb 4.8615 1.6205 4.8615
Nb 4.8615 4.8615 1.6205
Nb 4.8615 4.8615 4.8615
Tl 0.0000 0.0000 0.0000
Tl 0.0000 3.2410 3.2410
Tl 3.2410 0.0000 3.2410
Tl 3.2410 3.2410 0.0000
Co 0.0000 0.0000 3.2410
Co 0.0000 3.2410 0.0000
Co 3.2410 0.0000 0.0000
Co 3.2410 3.2410 3.2410
```

***

Record 12
KRe3 | meta-GGA SCAN | single point on PBEsol structure Values from VASP.

The structure in Quantum ESPRESSO input format:
```
&SYSTEM
  ibrav = 0, nat = 16, ntyp = 2
/
ATOMIC_SPECIES
K 39.10 K.upf
Re 186.21 Re.upf
CELL_PARAMETERS angstrom
6.3360 0.0000 0.0000
0.0000 6.3360 0.0000
0.0000 0.0000 6.3360
ATOMIC_POSITIONS angstrom
K 0.0000 0.0000 0.0000
K 0.0000 3.1680 3.1680
K 3.1680 0.0000 3.1680
K 3.1680 3.1680 0.0000
Re 0.0000 0.0000 3.1680
Re 0.0000 3.1680 0.0000
Re 1.5840 1.5840 1.5840
Re 1.5840 1.5840 4.7520
Re 1.5840 4.7520 1.5840
Re 1.5840 4.7520 4.7520
Re 3.1680 0.0000 0.0000
Re 3.1680 3.1680 3.1680
Re 4.7520 1.5840 1.5840
Re 4.7520 1.5840 4.7520
Re 4.7520 4.7520 1.5840
Re 4.7520 4.7520 4.7520
```

***

Record order is preserved below.
Raw total energy: -326.17; -187.66; -95.84; -103.41; -137.66; -170.31; -212.68; -137.74; -177.68; -103.30; -154.68; -215.21 eV/f.u.
Record order is preserved below.
M_tot: 4.6; 0.0; 3.2; 0.0; 4.8; 0.0; 0.0; 15.5; 0.0; 0.0; 2.3; 0.0 μB/f.u.